Record 1
Here is crystalline Ac8Co4Ag at its relaxed geometry from the Alexandria database. Energies are from PBE.

a = 8.5199 Å, b = 8.5199 Å, c = 8.3880 Å
α = 104.99°, β = 104.49°, γ = 119.94°
Last column: nearest neighbours and their distance in Å.
Fractional coordinates of all 13 atoms:
Ac1 0.1929 0.5252 0.2102  3 Co 2.88-2.90
Ac2 0.6871 0.5260 0.2130  3 Co 2.91-2.93, 1 Ag 3.26
Ac3 0.3129 0.4740 0.7870  3 Co 2.91-2.93, 1 Ag 3.26
Ac4 0.3150 0.9827 0.7898  3 Co 2.88-2.90
Ac5 0.8093 0.9742 0.7835  3 Co 2.89-2.91
Ac6 0.1907 0.0258 0.2165  3 Co 2.89-2.91
Ac7 0.6850 0.0173 0.2102  3 Co 2.88-2.90
Ac8 0.8071 0.4748 0.7898  3 Co 2.88-2.90
Co1 0.2472 0.7497 0.9969  6 Ac 2.89-2.93
Co2 0.7535 0.7535 0.0000  6 Ac 2.88-2.91
Co3 0.7528 0.2503 0.0031  6 Ac 2.89-2.93
Co4 0.2465 0.2465 0.0000  6 Ac 2.88-2.91
Ag1 0.0000 0.5000 0.5000  6 Ac 3.25-3.26, 2 Co 3.59

space group: C2/m
formation energy from the elements: -33 meV per atom
DOS(E_F): 0.66 states/eV per atom
VASP energy: -64.569 eV per cell


Record 2
Here is crystalline CdTe2IO at its relaxed geometry from the Alexandria database. Energies are from PBE.

a = 5.6248 Å, b = 5.6248 Å, c = 5.6820 Å
α = 90.00°, β = 90.00°, γ = 90.00°
Last column: nearest neighbours and their distance in Å.
Fractional coordinates of all 5 atoms:
I1 0.0000 0.0000 0.5000  2 Cd 2.84
Cd1 0.0000 0.0000 0.0000  4 Te 2.81, 2 I 2.84
Te1 0.5000 0.0000 0.0000  2 Cd 2.81
Te2 0.0000 0.5000 0.0000  2 Cd 2.81
O1 0.5000 0.5000 0.5000  4 I 3.98, 8 Te 4.00

formation energy (no corrections): 1039.1 meV/atom
space group: P4/mmm
E above lowest polymorph: 828 meV per atom
DOS(E_F): 2.96 states/eV per atom
VASP energy: -8.511 eV per cell


Record 3
Here is crystalline Tm4Si2Ge at its relaxed geometry from the Alexandria database. Energies are from PBE.

a = 7.4991 Å, b = 7.4988 Å, c = 7.4999 Å
α = 109.50°, β = 109.50°, γ = 109.42°
Last column: nearest neighbours and their distance in Å.
Fractional coordinates of all 14 atoms:
Tm1 0.0082 0.2584 0.3850  4 Si 2.84-3.16, 2 Ge 2.86-3.16
Tm2 0.2418 0.1270 0.7503  4 Si 2.84-3.16, 2 Ge 2.86-3.16
Tm3 0.7415 0.1266 0.7496  4 Si 2.84-3.16, 2 Ge 2.86-3.16
Tm4 0.3769 0.9918 0.2503  4 Si 2.84-3.16, 2 Ge 2.86-3.16
Tm5 0.5084 0.7582 0.8851  4 Si 2.84-3.16, 2 Ge 2.86-3.16
Tm6 0.8735 0.6230 0.6150  4 Si 2.84-3.16, 2 Ge 2.86-3.16
Tm7 0.3767 0.4916 0.2498  4 Si 2.84-3.16, 2 Ge 2.86-3.16
Tm8 0.8730 0.6234 0.1149  4 Si 2.84-3.16, 2 Ge 2.86-3.16
Si1 0.6250 0.2499 0.1249  8 Tm 2.84-3.16
Si2 0.4999 0.3750 0.6249  8 Tm 2.84-3.16
Si3 0.7501 0.8750 0.3751  8 Tm 2.84-3.16
Si4 0.1250 0.5000 0.8751  8 Tm 2.84-3.16
Ge1 0.2500 0.7501 0.5000  8 Tm 2.86-3.16
Ge2 0.0000 0.9999 0.9999  8 Tm 2.86-3.16

formation energy (no corrections): -758.9 meV/atom
space group: I-42d
DOS(E_F): 0.09 states/eV per atom
VASP energy: -77.323 eV per cell


Record 4
Here is crystalline CaPmCd at its relaxed geometry from the Alexandria database. Energies are from PBE.

a = 3.6660 Å, b = 5.4102 Å, c = 5.4102 Å
α = 120.00°, β = 90.00°, γ = 90.00°
Last column: nearest neighbours and their distance in Å.
Fractional coordinates of all 3 atoms:
Ca1 0.4018 0.3333 0.6667  3 Cd 3.24, 3 Pm 3.52
Cd1 0.6387 0.6667 0.3333  3 Ca 3.24, 3 Pm 3.34
Pm1 0.9594 0.0000 0.0000  3 Cd 3.34, 6 Ca 3.52-3.73, 2 Pm 3.67

space group: P3m1
formation energy from the elements: -73 meV per atom
E above lowest polymorph: 118 meV per atom
DOS(E_F): 1.03 states/eV per atom
VASP energy: -7.888 eV per cell


Record 5
Here is crystalline KGaGe2O6 at its relaxed geometry from the Alexandria database. Energies are from PBE.

a = 5.8247 Å, b = 7.6533 Å, c = 7.6533 Å
α = 94.43°, β = 75.29°, γ = 75.29°
Last column: nearest neighbours and their distance in Å.
Fractional coordinates of all 20 atoms:
O1 0.2747 0.2396 0.0160  1 Ge 1.76, 1 Ga 1.88
O2 0.9154 0.3130 0.3689  2 Ge 1.78-1.79
O3 0.5510 0.2100 0.6195  1 Ge 1.75, 1 Ga 1.83
O4 0.7253 0.7604 0.9840  1 Ge 1.76, 1 Ga 1.88
O5 0.2253 0.9840 0.7604  1 Ge 1.76, 1 Ga 1.88
O6 0.0510 0.6195 0.2100  1 Ge 1.75, 1 Ga 1.83
O7 0.4490 0.7900 0.3805  1 Ge 1.75, 1 Ga 1.83
O8 0.7747 0.0160 0.2396  1 Ge 1.76, 1 Ga 1.88
O9 0.0846 0.6870 0.6311  2 Ge 1.78-1.79
O10 0.9490 0.3805 0.7900  1 Ge 1.75, 1 Ga 1.83
O11 0.4154 0.3689 0.3130  2 Ge 1.78-1.79
O12 0.5846 0.6311 0.6870  2 Ge 1.78-1.79
Ga1 0.7500 0.7759 0.2241  4 O 1.83-1.88
Ga2 0.2500 0.2241 0.7759  4 O 1.83-1.88
K1 0.7500 0.1062 0.8938  6 O 2.59-2.82
K2 0.2500 0.8938 0.1062  6 O 2.59-2.82
Ge1 0.3463 0.7742 0.6124  4 O 1.75-1.79
Ge2 0.6537 0.2258 0.3876  4 O 1.75-1.79
Ge3 0.1537 0.3876 0.2258  4 O 1.75-1.79
Ge4 0.8463 0.6124 0.7742  4 O 1.75-1.79

formation energy (no corrections): -1721.2 meV/atom
space group: C2/c
DOS(E_F): 0.00 states/eV per atom
VASP energy: -120.641 eV per cell


Record 6
Here is crystalline Nd8Sm2Al at its relaxed geometry from the Alexandria database. Energies are from PBE.

a = 5.6020 Å, b = 7.8612 Å, c = 9.5917 Å
α = 111.16°, β = 106.98°, γ = 90.00°
Last column: nearest neighbours and their distance in Å.
Fractional coordinates of all 11 atoms:
Sm1 0.1905 0.6680 0.3810  9 Nd 3.41-3.68
Sm2 0.8095 0.3320 0.6190  9 Nd 3.41-3.68
Nd1 0.6501 0.9030 0.3002  1 Al 3.12
Nd2 0.3865 0.5822 0.7730  1 Al 3.16, 2 Sm 3.41
Nd3 0.1793 0.2099 0.3585  3 Sm 3.53-3.57, 8 Nd 3.54-3.82
Nd4 0.8207 0.7901 0.6415  3 Sm 3.53-3.57, 8 Nd 3.54-3.82
Nd5 0.3499 0.0970 0.6998  1 Al 3.12
Nd6 0.9909 0.2356 0.9818  2 Al 3.40, 6 Nd 3.54-3.71, 1 Sm 3.68
Nd7 0.0091 0.7644 0.0182  2 Al 3.40, 6 Nd 3.54-3.71, 1 Sm 3.68
Nd8 0.6135 0.4178 0.2270  1 Al 3.16, 2 Sm 3.41
Al1 0.5000 0.0000 0.0000  8 Nd 3.12-3.40

space group: C2/m
formation energy from the elements: 36 meV per atom
DOS(E_F): 1.40 states/eV per atom
VASP energy: -50.927 eV per cell


Record 7
Here is crystalline RhPb2Se at its relaxed geometry from the Alexandria database. Energies are from PBE.

a = 6.4270 Å, b = 6.4270 Å, c = 7.7931 Å
α = 65.65°, β = 65.65°, γ = 90.00°
Last column: nearest neighbours and their distance in Å.
Fractional coordinates of all 8 atoms:
Pb1 0.6639 0.1250 0.2500  2 Rh 2.63, 2 Se 2.92
Pb2 0.0861 0.6250 0.2500  2 Rh 2.63, 2 Se 2.92
Pb3 0.3750 0.3361 0.7500  2 Rh 2.63, 2 Se 2.92
Pb4 0.8750 0.9139 0.7500  2 Rh 2.63, 2 Se 2.92
Rh1 0.7500 0.2500 0.5000  4 Pb 2.63
Rh2 0.0000 0.0000 0.0000  4 Pb 2.63
Se1 0.2500 0.7500 0.5000  4 Pb 2.92
Se2 0.5000 0.5000 0.0000  4 Pb 2.92

formation energy (no corrections): 84.5 meV/atom
space group: I-42d
DOS(E_F): 0.64 states/eV per atom
VASP energy: -35.830 eV per cell


Record 8
Here is crystalline Pr3Hg2Pt at its relaxed geometry from the Alexandria database. Energies are from PBE.

a = 6.1613 Å, b = 8.1262 Å, c = 8.2405 Å
α = 104.24°, β = 111.95°, γ = 90.00°
Last column: nearest neighbours and their distance in Å.
Fractional coordinates of all 12 atoms:
Hg1 0.3140 0.9060 0.6292  6 Pr 3.16-3.41
Hg2 0.6848 0.5940 0.3708  6 Pr 3.16-3.41
Hg3 0.3152 0.4060 0.6292  6 Pr 3.16-3.41
Hg4 0.6860 0.0940 0.3708  6 Pr 3.16-3.41
Pt1 0.0003 0.7500 0.0000  6 Pr 2.88-3.08
Pt2 0.9997 0.2500 0.0000  6 Pr 2.88-3.08
Pr1 0.1395 0.0687 0.2778  2 Pt 2.88-2.89, 2 Hg 3.16
Pr2 0.1384 0.5687 0.2778  2 Pt 2.88-2.89, 2 Hg 3.16
Pr3 0.5005 0.7500 0.0000  2 Pt 3.08, 4 Hg 3.40-3.41
Pr4 0.8616 0.4313 0.7222  2 Pt 2.88-2.89, 2 Hg 3.16
Pr5 0.4995 0.2500 0.0000  2 Pt 3.08, 4 Hg 3.40-3.41
Pr6 0.8605 0.9313 0.7222  2 Pt 2.88-2.89, 2 Hg 3.16

space group: C2/c
formation energy from the elements: -564 meV per atom
DOS(E_F): 0.95 states/eV per atom
VASP energy: -48.737 eV per cell


Record 9
Here is crystalline Ce3P2Cl2 at its relaxed geometry from the Alexandria database. Energies are from PBE.

a = 4.0718 Å, b = 7.1078 Å, c = 7.4046 Å
α = 101.94°, β = 89.99°, γ = 106.65°
Last column: nearest neighbours and their distance in Å.
Fractional coordinates of all 7 atoms:
P1 0.6231 0.2461 0.8897  5 Ce 2.82-2.87
P2 0.3769 0.7539 0.1103  5 Ce 2.82-2.87
Ce1 0.0000 0.0000 0.0000  4 P 2.87, 2 Cl 2.94
Ce2 0.7641 0.5284 0.2337  3 P 2.82-2.84, 3 Cl 2.97-2.98
Ce3 0.2359 0.4716 0.7663  3 P 2.82-2.84, 3 Cl 2.97-2.98
Cl1 0.1368 0.2739 0.3662  4 Ce 2.94-2.98
Cl2 0.8632 0.7261 0.6338  4 Ce 2.94-2.98

formation energy (no corrections): -1580.4 meV/atom
space group: C2/m
DOS(E_F): 2.46 states/eV per atom
VASP energy: -43.377 eV per cell


VASP energy of number 5 (KGaGe2O6)?
-120.641 eV per cell


Which formula does entry 6 have?
Nd8Sm2Al


Which value of VASP energy does entry 6 give?
-50.927 eV per cell


VASP energy of number 1 (Ac8Co4Ag)?
-64.569 eV per cell